1.
Computed, not measured: an optimized crystal structure of Al5Mo at the GGA-PBE level of DFT.

The formation energy comes out at -0.134 eV/f.u. The calculation puts the size of the total moment at 0.0 μB/f.u.

The structure belongs to space group P4/mmm (No. 123); the cell edges are 2.775, 2.775 and 12.493 Å and the angles 90.00°, 90.00° and 90.00°. The inequivalent atoms are Al at (0.000, 0.000, 0.000), Al at (0.000, 0.000, 0.340), Al at (0.500, 0.500, 0.170) and Mo at (0.500, 0.500, 0.500).


2.
Computed, not measured: an optimized crystal structure of TbAlGa at the GGA-PBE level of DFT.

The formation energy comes out at -1.735 eV/f.u. The calculation puts the size of the total moment at 0.0 μB/f.u.

The structure belongs to space group C2/m (No. 12); the cell edges are 10.712, 4.303 and 7.069 Å and the angles 90.00°, 129.65° and 90.00°. The inequivalent atoms are Tb at (0.060, 0.000, 0.313), Al at (0.162, 0.500, 0.101) and Ga at (0.163, 0.500, 0.709).


3.
Computed, not measured: an optimized crystal structure of Ca4PuN5 at the GGA-PBE level of DFT.

The calculation puts the size of the total moment at 1.0 μB/f.u. Its energy relative to the elements, uncorrected is -1.055 eV/atom.

The structure belongs to space group I4 (No. 79); the cell edges are 7.758, 7.758 and 4.903 Å and the angles 90.00°, 90.00° and 90.00°. The inequivalent atoms are Ca at (0.104, 0.704, 0.000), Pu at (0.000, 0.000, 0.500), N at (0.000, 0.000, 0.998) and N at (0.079, 0.745, 0.500).


4.
Computed, not measured: an optimized crystal structure of Sm3Cd3Ga8 at the GGA-PBE level of DFT.

The formation energy comes out at -5.861 eV/f.u. The calculation puts the size of the total moment at 0.0 μB/f.u.

The structure belongs to space group Immm (No. 71); the cell edges are 4.316, 10.247 and 13.233 Å and the angles 90.00°, 90.00° and 90.00°. The inequivalent atoms are Sm at (0.000, 0.000, 0.000), Sm at (0.000, 0.000, 0.307), Cd at (0.000, 0.211, 0.500), Cd at (0.000, 0.500, 0.000), Ga at (0.000, 0.274, 0.152) and Ga at (0.000, 0.375, 0.339).


5.
Computed, not measured: an optimized crystal structure of PrAgSb at the GGA-PBE level of DFT.

The calculation puts the size of the total moment at 0.0 μB/f.u. Its energy relative to the elements, uncorrected is -0.301 eV/atom.

The structure belongs to space group R-3m (No. 166, hexagonal axes); the cell edges are 4.8016, 4.8016 and 26.2011 Å and the angles 90.00°, 90.00° and 120.00°. The inequivalent atoms are Pr at (0.0000, 0.0000, 0.2131), Ag at (0.0000, 0.0000, 0.3727) and Sb at (0.0000, 0.0000, 0.0685).


6.
Computed, not measured: an optimized crystal structure of Na3CaTi at the GGA-PBE level of DFT.

The formation energy comes out at 6.675 eV/f.u. The calculation puts the size of the total moment at 0.4 μB/f.u.

The structure belongs to space group Pm-3m (No. 221); the cell edges are 5.928, 5.928 and 5.928 Å and the angles 90.00°, 90.00° and 90.00°. The inequivalent atoms are Na at (0.000, 0.000, 0.500), Ca at (0.000, 0.000, 0.000) and Ti at (0.500, 0.500, 0.500).


What ρ values result from the calculations? In sequence: 4.0 6.8 5.3 7.6 7.1 1.3 g cm⁻³.